Density functional theory data (GGA-PBE) for a geometry-optimized TaReAsO structure.

abc: 2.9841 5.4821 7.5755
angles: 90.00 90.00 90.00
Closest atoms and distances in Å follow each position.
Space group Pmc2_1 (No. 26)
Unique sites:
Ta1 0.0000 0.1102 0.0000  2 O 2.06-2.28
Re1 0.5000 0.2779 0.4488  2 O 2.13
As1 0.5000 0.3460 0.7653  2 Re 2.43-2.49, 2 Ta 2.66
O1 0.0000 0.1560 0.2695  2 Ta 2.06-2.28, 2 Re 2.13

Computed properties:
As for the spin magnetization: 0.01 μB/f.u. The value obtained for the energy above the most stable polymorph in this dataset is 214.5 meV per atom.

***

Density functional theory data (GGA-PBE) for a geometry-optimized PrPbF6 structure.

abc: 6.8528 6.8528 7.7401
angles: 90.00 90.00 120.00
Closest atoms and distances in Å follow each position.
Space group R-3m (No. 166, hexagonal axes)
Unique sites:
Pr1 0.0000 0.0000 0.0000  6 F 2.45
Pb1 0.0000 0.0000 0.5000  6 F 2.19
F1 0.0767 0.5384 0.3706  1 Pb 2.19, 1 F 2.20, 1 Pr 2.45

Computed properties:
As for the spin magnetization: 0.00 μB/f.u.

***

Density functional theory data (GGA-PBE) for a geometry-optimized Nd3BiSe2 structure.

abc: 4.3620 4.3620 10.5993
angles: 90.00 90.00 120.00
Closest atoms and distances in Å follow each position.
Space group P-3m1 (No. 164)
Unique sites:
Nd1 0.0000 0.0000 0.0000  6 Se 3.02
Nd2 0.3333 0.6667 0.3139  3 Se 3.01, 3 Bi 3.20
Bi1 0.0000 0.0000 0.5000  6 Nd 3.20
Se1 0.3333 0.6667 0.8422  6 Nd 3.01-3.02

Computed properties:
As for the spin magnetization: 0.00 μB/f.u.

***

Density functional theory data (GGA-PBE) for a geometry-optimized Pr2NdMg3Tl2Hg structure.

abc: 4.7391 13.3584 7.7363
angles: 90.00 90.00 90.00
Closest atoms and distances in Å follow each position.
Space group Amm2 (No. 38)
Unique sites:
Pr1 0.0000 0.2082 0.0000  1 Hg 3.22, 4 Tl 3.32, 2 Mg 3.57
Nd1 0.0000 0.0000 0.6246  1 Hg 3.21, 4 Tl 3.31, 2 Mg 3.58
Mg1 0.5000 0.0000 0.9714  2 Hg 3.00, 2 Tl 3.01, 2 Mg 3.18
Mg2 0.5000 0.1186 0.3272  2 Hg 2.99, 2 Tl 3.01-3.02, 2 Mg 3.17-3.18
Tl1 0.5000 0.1659 0.7081  3 Mg 3.01-3.02, 2 Nd 3.31, 4 Pr 3.32
Hg1 0.0000 0.0000 0.2101  6 Mg 2.99-3.00, 1 Nd 3.21, 2 Pr 3.22

Computed properties:
As for the spin magnetization: 0.03 μB/f.u.

***

Density functional theory data (GGA-PBE) for a geometry-optimized ZrPaW structure.

abc: 6.6456 6.6456 6.6456
angles: 90.00 90.00 90.00
Closest atoms and distances in Å follow each position.
Space group F-43m (No. 216)
Unique sites:
Zr1 0.0000 0.0000 0.0000  4 W 2.88
Pa1 0.0000 0.0000 0.5000  4 W 2.88
W1 0.2500 0.2500 0.2500  4 Zr 2.88, 4 Pa 2.88

Computed properties:
As for the spin magnetization: 0.01 μB/f.u. The value obtained for the energy above the most stable polymorph in this dataset is 0.0 meV per atom.

***

Density functional theory data (GGA-PBE) for a geometry-optimized HfMg structure.

abc: 6.4934 5.4341 5.0017
angles: 90.00 90.00 90.00
Closest atoms and distances in Å follow each position.
Space group Pbcm (No. 57)
Unique sites:
Hf1 0.1147 0.0833 0.2500  6 Hf 3.05-3.10, 6 Mg 3.15-3.30
Mg1 0.3765 0.5806 0.2500  6 Mg 3.10-3.16, 6 Hf 3.15-3.30

Computed properties:
As for the spin magnetization: 0.01 μB/f.u.

***

Density functional theory data (GGA-PBE) for a geometry-optimized Ta7BiO19 structure.

abc: 6.2247 6.2247 20.0539
angles: 90.00 90.00 120.00
Closest atoms and distances in Å follow each position.
Space group P-6c2 (No. 188)
Unique sites:
Ta1 0.0000 0.0000 0.0000  6 O 2.00
Ta2 0.0277 0.3333 0.1561  6 O 1.91-2.05
Bi1 0.3333 0.6667 0.0000  8 O 2.43-2.64
O1 0.0000 0.0000 0.1680  3 Ta 2.01
O2 0.0444 0.2838 0.0564  2 Ta 2.00-2.03
O3 0.0889 0.3803 0.2500  2 Ta 1.91
O4 0.3333 0.6667 0.1317  3 Ta 2.05
O5 0.4188 0.0857 0.6534  2 Ta 1.99

Computed properties:
As for the spin magnetization: 0.00 μB/f.u.

***

Density functional theory data (GGA-PBE) for a geometry-optimized GdErAg2Se4 structure.

abc: 9.5482 9.5669 4.3156
angles: 90.00 90.00 90.00
Closest atoms and distances in Å follow each position.
Space group Cmm2 (No. 35)
Unique sites:
Gd1 0.0000 0.0000 0.0000  6 Se 2.87-2.95
Er1 0.0000 0.5000 0.5922  6 Se 2.84-2.92
Ag1 0.2500 0.2500 0.7962  4 Se 2.72-2.73
Se1 0.0000 0.3008 0.0795  2 Ag 2.73, 2 Er 2.84-2.92, 1 Gd 2.90
Se2 0.2049 0.0000 0.5125  2 Ag 2.72, 1 Er 2.84, 2 Gd 2.87-2.95

Computed properties:
As for the spin magnetization: 0.00 μB/f.u.

***

Asked for electronic total energy across the records above, the calculation gives -8.87; -5.23; -5.75; -3.06; -9.88; -5.62; -9.41; -4.83 eV/atom in order.